First-principles (PBE) data for a geometry-optimized HfHPd2 structure, as listed in the Alexandria database.

- SG = I-42d
- ΔE to the lowest computed polymorph (meV per atom) = 0
- crystal system = tetragonal
- mass density (Mg/m³) = 11.79
- DOS(E_F) (states/eV/f.u.) = 2.498

```
HfHPd2
1.0
-3.299 3.299 2.539
3.299 -3.299 2.539
3.299 3.299 -2.539
Hf H Pd
2 2 4
Cartesian
0.000 0.000 0.000
0.000 3.299 1.269
3.299 0.000 1.269
0.000 0.000 2.539
1.649 -0.976 1.904
2.323 1.649 0.635
1.649 4.275 -0.635
0.976 1.649 3.174
```

***

First-principles (PBE) data for a geometry-optimized La3Pm2Ge4 structure, as listed in the Alexandria database.

- SG = P2_1/c
- ΔE to the lowest computed polymorph (meV per atom) = 0
- crystal system = monoclinic
- mass density (Mg/m³) = 6.63
- DOS(E_F) (states/eV/f.u.) = 6.903

```
La3Pm2Ge4
1.0
8.291 0.000 0.000
0.000 8.147 0.000
-2.982 0.000 7.398
La Pm Ge
6 4 8
Cartesian
0.000 0.000 0.000
-1.491 4.074 3.699
1.200 1.487 3.197
-0.292 2.586 6.896
5.600 5.561 0.501
4.109 6.660 4.200
1.391 5.409 2.035
-0.101 6.813 5.734
5.409 1.335 1.664
3.918 2.739 5.363
-1.806 0.999 4.567
-0.314 3.075 0.869
1.422 4.380 5.001
2.913 7.841 1.302
2.395 0.306 6.096
3.886 3.767 2.397
5.623 5.073 6.529
7.114 7.149 2.830
```

***

First-principles (PBE) data for a geometry-optimized LuPdAu structure, as listed in the Alexandria database.

- SG = I4mm
- ΔE to the lowest computed polymorph (meV per atom) = 670
- crystal system = tetragonal
- mass density (Mg/m³) = 10.90
- DOS(E_F) (states/eV/f.u.) = 1.178

```
LuPdAu
1.0
-1.626 1.626 6.895
1.626 -1.626 6.895
1.626 1.626 -6.895
Lu Pd Au
1 1 1
Cartesian
0.000 0.000 0.000
0.000 0.000 11.305
0.000 0.000 8.594
```

***

First-principles (PBE) data for a geometry-optimized Tc3IrAu structure, as listed in the Alexandria database.

- SG = Pm-3m
- ΔE to the lowest computed polymorph (meV per atom) = 0
- crystal system = cubic
- mass density (Mg/m³) = 10.94
- DOS(E_F) (states/eV/f.u.) = 6.459

```
Tc3IrAu
1.0
4.698 0.000 0.000
0.000 4.698 0.000
0.000 0.000 4.698
Tc Ir Au
3 1 1
Cartesian
0.000 0.000 2.349
0.000 2.349 0.000
2.349 0.000 0.000
0.000 0.000 0.000
2.349 2.349 2.349
```